Run a
Entry from the Alexandria database: crystalline Sc2SeI at its relaxed geometry (PBE-GGA).

The value obtained for the total moment is 0.742 μB per formula unit. The value obtained for the density of states at the Fermi level is 1.06 states/eV per atom. As for the crystal system: trigonal.

a = 8.259 Å, b = 8.259 Å, c = 8.259 Å
α = 29.12°, β = 29.12°, γ = 29.12°
Sites, in units of the cell vectors:
Sc  0.118  0.118  0.118
Sc  0.882  0.882  0.882
Se  0.500  0.500  0.500
I  0.000  0.000  0.000



Run b
Entry from the Alexandria database: crystalline Sc2SeI at its relaxed geometry (PBE-GGA).

The value obtained for the total moment is 0.000 μB per formula unit. The value obtained for the density of states at the Fermi level is 1.00 states/eV per atom. As for the crystal system: tetragonal.

a = 7.722 Å, b = 7.722 Å, c = 7.722 Å
α = 131.75°, β = 131.75°, γ = 70.62°
Sites, in units of the cell vectors:
Sc  0.082  0.625  0.957
Sc  0.375  0.332  0.457
Sc  0.668  0.125  0.043
Sc  0.875  0.918  0.543
Se  0.000  0.000  0.000
Se  0.750  0.250  0.500
I  0.250  0.750  0.500
I  0.500  0.500  0.000



Which structure is the least stable? The one labeled run b.



Run a
Entry from the Alexandria database: crystalline ScSe3I at its relaxed geometry (PBE-GGA).

The value obtained for the total moment is 0.000 μB per formula unit. The value obtained for the density of states at the Fermi level is 1.33 states/eV per atom. As for the crystal system: cubic.

a = 5.205 Å, b = 5.205 Å, c = 5.205 Å
α = 90.00°, β = 90.00°, γ = 90.00°
Sites, in units of the cell vectors:
Sc  0.000  0.000  0.000
Se  0.000  0.000  0.500
Se  0.000  0.500  0.000
Se  0.500  0.000  0.000
I  0.500  0.500  0.500



Run b
Entry from the Alexandria database: crystalline ScSe3I at its relaxed geometry (PBE-GGA).

The value obtained for the total moment is 0.381 μB per formula unit. The value obtained for the density of states at the Fermi level is 1.00 states/eV per atom. As for the crystal system: cubic.

a = 5.349 Å, b = 5.349 Å, c = 5.349 Å
α = 90.00°, β = 90.00°, γ = 90.00°
Sites, in units of the cell vectors:
Sc  0.000  0.000  0.000
Se  0.000  0.500  0.500
Se  0.500  0.000  0.500
Se  0.500  0.500  0.000
I  0.500  0.500  0.500



Which structure is the least stable? The one labeled run b.



Run a
Entry from the Alexandria database: crystalline Sc4SiI5 at its relaxed geometry (PBE-GGA).

The value obtained for the total moment is 0.000 μB per formula unit. The value obtained for the density of states at the Fermi level is 0.49 states/eV per atom. As for the crystal system: monoclinic.

a = 9.459 Å, b = 9.459 Å, c = 8.384 Å
α = 102.32°, β = 102.32°, γ = 24.48°
Sites, in units of the cell vectors:
Sc  0.000  0.000  0.205
Sc  0.000  0.000  0.795
Sc  0.359  0.359  0.929
Sc  0.641  0.641  0.071
Si  0.500  0.500  0.000
I  0.164  0.164  0.332
I  0.169  0.169  0.833
I  0.500  0.500  0.500
I  0.831  0.831  0.167
I  0.836  0.836  0.668



Run b
Entry from the Alexandria database: crystalline Sc4SiI5 at its relaxed geometry (PBE-GGA).

The value obtained for the total moment is 0.000 μB per formula unit. The value obtained for the density of states at the Fermi level is 0.51 states/eV per atom. As for the crystal system: monoclinic.

a = 10.482 Å, b = 10.482 Å, c = 8.332 Å
α = 90.35°, β = 90.35°, γ = 21.95°
Sites, in units of the cell vectors:
Sc  0.000  0.000  0.206
Sc  0.000  0.000  0.794
Sc  0.378  0.378  0.998
Sc  0.622  0.622  0.002
Si  0.500  0.500  0.000
I  0.149  0.149  0.250
I  0.149  0.149  0.754
I  0.500  0.500  0.500
I  0.851  0.851  0.246
I  0.851  0.851  0.750



Which structure is the least stable? The one labeled run b.



Run a
Entry from the Alexandria database: crystalline ScSi3I at its relaxed geometry (PBE-GGA).

The value obtained for the total moment is 0.000 μB per formula unit. The value obtained for the density of states at the Fermi level is 0.76 states/eV per atom. As for the crystal system: cubic.

a = 5.223 Å, b = 5.223 Å, c = 5.223 Å
α = 90.00°, β = 90.00°, γ = 90.00°
Sites, in units of the cell vectors:
Sc  0.000  0.000  0.000
Si  0.000  0.000  0.500
Si  0.000  0.500  0.000
Si  0.500  0.000  0.000
I  0.500  0.500  0.500



Run b
Entry from the Alexandria database: crystalline ScSi3I at its relaxed geometry (PBE-GGA).

The value obtained for the total moment is 0.000 μB per formula unit. The value obtained for the density of states at the Fermi level is 1.30 states/eV per atom. As for the crystal system: cubic.

a = 5.180 Å, b = 5.180 Å, c = 5.180 Å
α = 90.00°, β = 90.00°, γ = 90.00°
Sites, in units of the cell vectors:
Sc  0.000  0.000  0.000
Si  0.000  0.500  0.500
Si  0.500  0.000  0.500
Si  0.500  0.500  0.000
I  0.500  0.500  0.500



Which structure is the least stable? The one labeled run b.



Run a
Entry from the Alexandria database: crystalline Sc2Si2I at its relaxed geometry (PBE-GGA).

The value obtained for the total moment is 0.000 μB per formula unit. The value obtained for the density of states at the Fermi level is 0.85 states/eV per atom. As for the crystal system: tetragonal.

a = 7.979 Å, b = 7.979 Å, c = 7.979 Å
α = 153.10°, β = 153.10°, γ = 38.41°
Sites, in units of the cell vectors:
Sc  0.115  0.115  0.000
Sc  0.885  0.885  0.000
Si  0.250  0.750  0.500
Si  0.750  0.250  0.500
I  0.500  0.500  0.000



Run b
Entry from the Alexandria database: crystalline Sc2Si2I at its relaxed geometry (PBE-GGA).

The value obtained for the total moment is 0.000 μB per formula unit. The value obtained for the density of states at the Fermi level is 0.50 states/eV per atom. As for the crystal system: tetragonal.

a = 7.665 Å, b = 7.665 Å, c = 3.676 Å
α = 90.00°, β = 90.00°, γ = 90.00°
Sites, in units of the cell vectors:
Sc  0.174  0.326  0.000
Sc  0.326  0.826  0.000
Sc  0.674  0.174  0.000
Sc  0.826  0.674  0.000
Si  0.108  0.608  0.500
Si  0.392  0.108  0.500
Si  0.608  0.892  0.500
Si  0.892  0.392  0.500
I  0.000  0.000  0.000
I  0.500  0.500  0.000



Which structure is the least stable? The one labeled run b.



Run a
Entry from the Alexandria database: crystalline Sm2ScI at its relaxed geometry (PBE-GGA).

The value obtained for the total moment is 0.000 μB per formula unit. The value obtained for the density of states at the Fermi level is 1.20 states/eV per atom. As for the crystal system: tetragonal.

a = 3.644 Å, b = 3.644 Å, c = 9.244 Å
α = 90.00°, β = 90.00°, γ = 90.00°
Sites, in units of the cell vectors:
Sm  0.000  0.000  0.246
Sm  0.000  0.000  0.754
Sc  0.500  0.500  0.000
I  0.500  0.500  0.500



Run b
Entry from the Alexandria database: crystalline Sm2ScI at its relaxed geometry (PBE-GGA).

The value obtained for the total moment is 0.783 μB per formula unit. The value obtained for the density of states at the Fermi level is 1.61 states/eV per atom. As for the crystal system: trigonal.

a = 11.550 Å, b = 11.550 Å, c = 11.550 Å
α = 17.93°, β = 17.93°, γ = 17.93°
Sites, in units of the cell vectors:
Sm  0.092  0.092  0.092
Sm  0.908  0.908  0.908
Sc  0.000  0.000  0.000
I  0.500  0.500  0.500



Which structure is the least stable? The one labeled run b.